(a)
Density functional theory data (PBE) for a geometry-optimized Tc2SnPtRh structure.

Unit cell a=4.943 b=4.943 c=4.814 alpha=90.00 beta=90.00 gamma=90.00
Space group P4/mmm (No. 123)
Symmetry-distinct sites (fractional):
1 Tc 0.000 0.500 0.000 [2 per cell]
2 Sn 0.000 0.000 0.000 [1 per cell]
3 Pt 0.000 0.000 0.500 [1 per cell]
4 Rh 0.500 0.500 0.500 [1 per cell]

---

(b)
Density functional theory data (PBE) for a geometry-optimized Tc2SnPtRh structure.

Unit cell a=4.726 b=4.726 c=4.928 alpha=90.00 beta=90.00 gamma=90.00
Space group P4/mmm (No. 123)
Symmetry-distinct sites (fractional):
1 Tc 0.000 0.500 0.000 [2 per cell]
2 Sn 0.000 0.000 0.500 [1 per cell]
3 Pt 0.500 0.500 0.000 [1 per cell]
4 Rh 0.500 0.500 0.500 [1 per cell]

---

Result of the stability comparison: (b) is the most stable of them.